First-principles (PBE) data for a relaxed structure of Sc2AsP, as listed in Alexandria via LeMat-Bulk.

Geometry as POSCAR:
```
Sc2AsP
1.0
3.890 0.000 0.000
-1.945 3.369 0.000
0.000 0.000 5.950
Sc As P
2 1 1
Cartesian
0.000 2.246 1.423 Sc
1.945 1.123 4.527 Sc
0.000 0.000 2.975 As
0.000 0.000 0.000 P
```

Computed properties:
- DFT total energy (eV per cell) = -27.81
- space-group type = P-3m1
- formation enthalpy at 0 K (eV/atom) = -1.271

***

First-principles (PBE) data for a relaxed structure of ScAs3P, as listed in Alexandria via LeMat-Bulk.

Geometry as POSCAR:
```
ScAs3P
1.0
4.737 0.000 0.000
0.000 4.737 0.000
0.000 0.000 4.737
Sc As P
1 3 1
Cartesian
0.000 0.000 0.000 Sc
0.000 2.369 2.369 As
2.369 0.000 2.369 As
2.369 2.369 0.000 As
2.369 2.369 2.369 P
```

Computed properties:
- DFT total energy (eV per cell) = -24.54
- space-group type = Pm-3m
- formation enthalpy at 0 K (eV/atom) = 0.230

***

First-principles (PBE) data for a relaxed structure of Sc8As3PSe3, as listed in Alexandria via LeMat-Bulk.

Geometry as POSCAR:
```
Sc8As3PSe3
1.0
3.840 2.217 6.282
-3.840 2.217 6.282
0.000 -4.434 6.282
Sc As P Se
8 3 1 3
Cartesian
-2.015 -1.163 11.020 Sc
0.000 -2.326 7.827 Sc
-2.015 1.163 7.827 Sc
0.000 0.000 4.619 Sc
0.000 0.000 14.228 Sc
2.015 -1.163 11.020 Sc
0.000 2.326 11.020 Sc
2.015 1.163 7.827 Sc
-3.840 0.000 9.424 As
-1.920 1.108 3.141 As
1.920 1.108 3.141 As
0.000 0.000 0.000 P
-1.920 -1.108 6.282 Se
-1.920 1.108 12.565 Se
0.000 2.217 6.282 Se
```

Computed properties:
- DFT total energy (eV per cell) = -101.69
- ΔE_f (raw) (meV per atom) = -1415
- space-group type = R-3m

***

First-principles (PBE) data for a relaxed structure of Sc8AsP3Se4, as listed in Alexandria via LeMat-Bulk.

Geometry as POSCAR:
```
Sc8AsP3Se4
1.0
3.813 2.202 6.328
-3.813 2.202 6.328
0.000 -4.403 6.328
Sc As P Se
8 1 3 4
Cartesian
-1.943 -1.122 10.941 Sc
0.000 0.000 4.589 Sc
0.000 -2.244 8.043 Sc
-1.943 1.122 8.043 Sc
1.943 -1.122 10.941 Sc
0.000 2.244 10.941 Sc
0.000 0.000 14.395 Sc
1.943 1.122 8.043 Sc
0.000 0.000 9.492 As
-3.813 0.000 9.492 P
-1.907 1.101 3.164 P
1.907 1.101 3.164 P
0.000 0.000 0.000 Se
-1.907 -1.101 6.328 Se
-1.907 1.101 12.656 Se
0.000 2.202 6.328 Se
```

Computed properties:
- DFT total energy (eV per cell) = -111.25
- ΔE_f (raw) (meV per atom) = -1611
- space-group type = R-3m